{
  "formula": "Dy2HfTh",
  "functional": "PBE",
  "state": "relaxed",
  "e_tot_ev_per_atom": -6.39,
  "total_magnetization_mub_per_cell": 0.0,
  "delta_e_f_ev_per_fu": 1.0,
  "lattice_angstrom": [[4.0357, 0.0000, 0.0000], [0.0000, 4.0357, 0.0000], [0.0000, 0.0000, 7.1309]],
  "species": ["Hf", "Th", "Dy", "Dy"],
  "frac_coords": [[0.5000, 0.5000, 0.0000], [0.5000, 0.5000, 0.5000], [0.0000, 0.0000, 0.7737], [0.0000, 0.0000, 0.2263]]
}

***

{
  "formula": "Lu3Hf",
  "functional": "PBE",
  "state": "relaxed",
  "e_tot_ev_per_atom": -5.62,
  "total_magnetization_mub_per_cell": 3.1,
  "delta_e_f_ev_per_fu": 1.0,
  "lattice_angstrom": [[5.3763, 0.0000, 0.0000], [2.6881, 4.6560, 0.0000], [2.6881, 1.5520, 4.3897]],
  "species": ["Lu", "Lu", "Lu", "Hf"],
  "frac_coords": [[0.0000, 0.0000, 0.0000], [0.7500, 0.7500, 0.7500], [0.2500, 0.2500, 0.2500], [0.5000, 0.5000, 0.5000]]
}

***

{
  "formula": "La3NdIn3",
  "functional": "PBE",
  "state": "relaxed",
  "e_tot_ev_per_atom": -4.33,
  "total_magnetization_mub_per_cell": 0.0,
  "delta_e_f_ev_per_fu": -2.5,
  "lattice_angstrom": [[-7.8692, -3.2087, 4.7758], [4.3261, -8.6343, 1.3271], [3.7932, 3.1907, 8.3940]],
  "species": ["La", "La", "La", "La", "La", "La", "La", "La", "La", "La", "La", "La", "Nd", "Nd", "Nd", "Nd", "In", "In", "In", "In", "In", "In", "In", "In", "In", "In", "In", "In"],
  "frac_coords": [[0.8276, 0.3276, 0.1724], [0.9275, 0.9275, 0.9275], [0.8262, 0.6738, 0.3262], [0.1724, 0.8276, 0.3276], [0.1738, 0.1738, 0.1738], [0.3262, 0.8262, 0.6738], [0.0725, 0.4275, 0.5725], [0.3276, 0.1724, 0.8276], [0.6738, 0.3262, 0.8262], [0.6724, 0.6724, 0.6724], [0.5725, 0.0725, 0.4275], [0.4275, 0.5725, 0.0725], [0.0767, 0.5767, 0.9233], [0.9233, 0.0767, 0.5767], [0.4233, 0.4233, 0.4233], [0.5767, 0.9233, 0.0767], [0.7541, 0.6285, 0.9986], [0.8715, 0.0014, 0.2541], [0.9986, 0.7541, 0.6285], [0.1285, 0.5014, 0.2459], [0.2459, 0.1285, 0.5014], [0.2541, 0.8715, 0.0014], [0.0014, 0.2541, 0.8715], [0.3715, 0.4986, 0.7459], [0.5014, 0.2459, 0.1285], [0.6285, 0.9986, 0.7541], [0.7459, 0.3715, 0.4986], [0.4986, 0.7459, 0.3715]]
}

***

{
  "formula": "BaBi2Pd5",
  "functional": "PBE",
  "state": "relaxed",
  "e_tot_ev_per_atom": -4.83,
  "total_magnetization_mub_per_cell": 0.0,
  "delta_e_f_ev_per_fu": -3.0,
  "lattice_angstrom": [[4.1223, 0.0000, 1.3646], [1.2835, 6.3196, 3.0315], [-0.0667, 0.4585, 7.1106]],
  "species": ["Ba", "Bi", "Bi", "Pd", "Pd", "Pd", "Pd", "Pd"],
  "frac_coords": [[0.0000, 0.0000, 0.0000], [0.7622, 0.7378, 0.7378], [0.2378, 0.2622, 0.2622], [0.0000, 0.5000, 0.5000], [0.6246, 0.5649, 0.1858], [0.3754, 0.4351, 0.8142], [0.3754, 0.8142, 0.4351], [0.6246, 0.1858, 0.5649]]
}